Material: NbBiBPb2
Method: DFT, PBE
State: optimized geometry

Unit cell a=6.045 b=6.045 c=5.405 alpha=90.00 beta=90.00 gamma=90.00
Positions (direct):
1 Nb 0.000 0.000 0.000
2 Bi 0.000 0.000 0.500
3 B 0.500 0.500 0.000
4 Pb 0.000 0.500 0.500
5 Pb 0.500 0.000 0.500

Space group: P4/mmm, No. 123
Formation enthalpy at 0 K (meV per atom): 2084

---

Material: LaMgSc2
Method: DFT, PBE
State: optimized geometry

Unit cell a=10.920 b=10.920 c=10.920 alpha=17.88 beta=17.88 gamma=17.88
Positions (direct):
1 La 0.000 0.000 0.000
2 Mg 0.500 0.500 0.500
3 Sc 0.245 0.245 0.245
4 Sc 0.755 0.755 0.755

Space group: R-3m, No. 166
Formation enthalpy at 0 K (meV per atom): 66

---

Material: SrPbCl2
Method: DFT, PBE
State: optimized geometry

Unit cell a=11.998 b=11.998 c=11.998 alpha=19.42 beta=19.42 gamma=19.42
Positions (direct):
1 Sr 0.000 0.000 0.000
2 Pb 0.500 0.500 0.500
3 Cl 0.287 0.287 0.287
4 Cl 0.713 0.713 0.713

Space group: R-3m, No. 166
ΔE to the lowest computed polymorph (eV per atom): 0.003
Raw formation energy (eV/f.u.): -5.9

---

Material: NbCr3Cu2S8
Method: DFT, PBE
State: optimized geometry

Unit cell a=6.925 b=7.145 c=9.936 alpha=90.00 beta=90.00 gamma=90.00
Positions (direct):
1 Nb 0.000 0.249 0.250
2 Nb 0.000 0.751 0.750
3 Cr 0.239 0.000 0.500
4 Cr 0.239 0.500 0.500
5 Cr 0.500 0.250 0.250
6 Cr 0.500 0.750 0.750
7 Cr 0.761 0.000 0.000
8 Cr 0.761 0.500 0.000
9 Cu 0.271 0.251 0.874
10 Cu 0.271 0.749 0.126
11 Cu 0.729 0.251 0.626
12 Cu 0.729 0.749 0.374
13 S 0.002 0.250 0.499
14 S 0.002 0.750 0.501
15 S 0.257 0.008 0.258
16 S 0.257 0.491 0.258
17 S 0.257 0.509 0.742
18 S 0.257 0.992 0.742
19 S 0.470 0.250 0.489
20 S 0.470 0.750 0.511
21 S 0.530 0.250 0.011
22 S 0.530 0.750 0.989
23 S 0.743 0.008 0.242
24 S 0.743 0.491 0.242
25 S 0.743 0.509 0.758
26 S 0.743 0.992 0.758
27 S 0.998 0.250 0.001
28 S 0.998 0.750 0.999

Space group: P222_1, No. 17
ΔE to the lowest computed polymorph (eV per atom): 0.002
Raw formation energy (eV/f.u.): -9.7

---

Material: PuMg6Pb4
Method: DFT, PBE
State: optimized geometry

Unit cell a=8.774 b=8.774 c=4.401 alpha=90.00 beta=90.00 gamma=120.00
Positions (direct):
1 Pu 0.000 0.000 0.000
2 Mg 0.201 0.401 0.500
3 Mg 0.201 0.799 0.500
4 Mg 0.537 0.073 0.000
5 Mg 0.537 0.463 0.000
6 Mg 0.599 0.799 0.500
7 Mg 0.927 0.463 0.000
8 Pb 0.333 0.667 0.000
9 Pb 0.364 0.182 0.500
10 Pb 0.818 0.182 0.500
11 Pb 0.818 0.636 0.500

Space group: P-6m2, No. 187
Formation enthalpy at 0 K (meV per atom): -17

---

Material: TaHgBr2
Method: DFT, PBE
State: optimized geometry

Unit cell a=5.226 b=5.226 c=5.226 alpha=127.83 beta=127.83 gamma=76.89
Positions (direct):
1 Ta 0.000 0.000 0.000
2 Hg 0.500 0.500 0.000
3 Br 0.250 0.750 0.500
4 Br 0.750 0.250 0.500

Space group: I4/mmm, No. 139
ΔE to the lowest computed polymorph (eV per atom): 0.949
Raw formation energy (eV/f.u.): 2.7